! Ho3Zn | Alexandria | PBE-GGA | relaxed; values from VASP
&SYSTEM
  ibrav = 0, nat = 4, ntyp = 2
/
ATOMIC_SPECIES
Zn 65.41 Zn.upf
Ho 164.93 Ho.upf
CELL_PARAMETERS angstrom
-5.1468 -0.3164 -1.2065
-1.8685 -4.2576 -2.5352
-3.1101 -3.4463 2.5487
ATOMIC_POSITIONS angstrom
Zn -5.0627 -4.0102 -0.5965
Ho 0.0000 0.0000 0.0000
Ho -7.5941 -6.0152 -0.8947
Ho -2.5314 -2.0051 -0.2982
! M_tot ... 0.00 μB/atom
! Energy above the lowest structure with this stoichiometry ... 4.97 kcal/mol of atoms
! Formation energy ... 0.054 eV/atom